[1]
Computed, not measured: crystalline Mn4WCl at its relaxed geometry at the PBE level of DFT.

Computed properties:
D(E_F) in states/eV/cell: 8.0
Magnetic moment in Bohr magnetons per cell: 6.7
Formation energy (no corrections) in eV/atom: 0.760

abc: 4.8485 4.8485 4.8485
angles: 60.00 60.00 60.00
Last column: nearest neighbours and their distance in Å.
Positions (direct):
1 Mn 0.8729 0.3757 0.3757  6 Mn 2.41-2.44
2 Mn 0.3757 0.3757 0.8729  6 Mn 2.41-2.44
3 Mn 0.3757 0.8729 0.3757  6 Mn 2.41-2.44
4 Mn 0.3757 0.3757 0.3757  6 Mn 2.41-2.44
5 W 0.7500 0.7500 0.7500  12 Mn 2.84, 4 Cl 2.97
6 Cl 0.0000 0.0000 0.0000  12 Mn 2.84, 4 W 2.97

[2]
Computed, not measured: crystalline MnWCl2 at its relaxed geometry at the PBE level of DFT.

Computed properties:
D(E_F) in states/eV/cell: 2.1
Magnetic moment in Bohr magnetons per cell: 1.8
Formation energy (no corrections) in eV/atom: 0.398

abc: 6.2041 6.2041 6.2041
angles: 151.94 106.89 80.04
Last column: nearest neighbours and their distance in Å.
Positions (direct):
1 Mn 0.4894 0.4894 0.0000  2 Cl 2.37, 2 W 2.61
2 W 0.2645 0.7645 0.5000  2 Cl 2.43, 2 Mn 2.61
3 Cl 0.0634 0.0634 0.0000  2 W 2.43
4 Cl 0.6828 0.1828 0.5000  2 Mn 2.37